(1)
This record from the Alexandria database describes an optimized crystal structure of ScPb2W. The functional is PBE. Values from VASP.

Formation enthalpy at 0 K in eV per formula unit: 1.9
Energy relative to the lowest polymorph listed for this composition in eV/atom: 0.104
Space-group type: Immm, No. 71

Geometry as Quantum ESPRESSO input:
```
&SYSTEM
  ibrav = 0, nat = 4, ntyp = 3
/
ATOMIC_SPECIES
Sc 44.96 Sc.upf
Pb 207.20 Pb.upf
W 183.84 W.upf
CELL_PARAMETERS angstrom
-4.0313 -0.2884 3.5908
0.7887 -4.5895 2.7465
2.7794 4.5364 -0.9616
ATOMIC_POSITIONS crystal
Sc 0.7500 0.2500 0.5000
Pb 0.0027 0.0027 0.0000
Pb 0.4973 0.4973 0.0000
W 0.2500 0.7500 0.5000
```

---

(2)
This record from the Alexandria database describes an optimized crystal structure of ScPb2W. The functional is PBE. Values from VASP.

Formation enthalpy at 0 K in eV per formula unit: 2.2
Energy relative to the lowest polymorph listed for this composition in eV/atom: 0.198
Space-group type: R-3m, No. 166

Geometry as Quantum ESPRESSO input:
```
&SYSTEM
  ibrav = 0, nat = 4, ntyp = 3
/
ATOMIC_SPECIES
W 183.84 W.upf
Pb 207.20 Pb.upf
Sc 44.96 Sc.upf
CELL_PARAMETERS angstrom
9.7167 -0.0104 -0.0061
9.1558 3.2534 -0.0061
9.1558 1.5733 2.8477
ATOMIC_POSITIONS crystal
W 0.7500 0.7500 0.7500
Pb 0.4938 0.4938 0.4938
Pb 0.0062 0.0062 0.0062
Sc 0.2500 0.2500 0.2500
```

---

(3)
This record from the Alexandria database describes an optimized crystal structure of ScPbW2. The functional is PBE. Values from VASP.

Formation enthalpy at 0 K in eV per formula unit: 1.0
Space-group type: P4mm, No. 99

Geometry as Quantum ESPRESSO input:
```
&SYSTEM
  ibrav = 0, nat = 4, ntyp = 3
/
ATOMIC_SPECIES
Sc 44.96 Sc.upf
W 183.84 W.upf
Pb 207.20 Pb.upf
CELL_PARAMETERS angstrom
-2.5685 -1.2024 1.5930
-1.0569 -1.3829 -2.7479
4.0195 -6.3802 1.6648
ATOMIC_POSITIONS crystal
Sc 0.5000 0.5000 0.7958
W 0.5000 0.5000 0.2017
W 0.0000 0.0000 0.0272
Pb 0.0000 0.0000 0.4754
```

---

(4)
This record from the Alexandria database describes an optimized crystal structure of ScPbW. The functional is PBE. Values from VASP.

Formation enthalpy at 0 K in eV per formula unit: 1.1
Energy relative to the lowest polymorph listed for this composition in eV/atom: 0.000
Space-group type: I4mm, No. 107

Geometry as Quantum ESPRESSO input:
```
&SYSTEM
  ibrav = 0, nat = 3, ntyp = 3
/
ATOMIC_SPECIES
W 183.84 W.upf
Sc 44.96 Sc.upf
Pb 207.20 Pb.upf
CELL_PARAMETERS angstrom
-4.5343 -1.6049 -2.3737
-0.1580 -3.6440 -3.9327
2.0988 0.7775 4.8745
ATOMIC_POSITIONS crystal
W 0.6682 0.6682 0.0000
Sc 0.3257 0.3257 0.0000
Pb 0.0061 0.0061 0.0000
```

---

(5)
This record from the Alexandria database describes an optimized crystal structure of ScPbW. The functional is PBE. Values from VASP.

Formation enthalpy at 0 K in eV per formula unit: 2.7
Energy relative to the lowest polymorph listed for this composition in eV/atom: 0.551
Space-group type: F-43m, No. 216

Geometry as Quantum ESPRESSO input:
```
&SYSTEM
  ibrav = 0, nat = 3, ntyp = 3
/
ATOMIC_SPECIES
W 183.84 W.upf
Pb 207.20 Pb.upf
Sc 44.96 Sc.upf
CELL_PARAMETERS angstrom
-4.4976 1.0933 0.4602
-2.9683 -0.8523 -3.4782
-3.1799 -3.3675 0.4287
ATOMIC_POSITIONS crystal
W 0.5000 0.5000 0.5000
Pb 0.7500 0.7500 0.7500
Sc 0.0000 0.0000 0.0000
```

---

(6)
This record from the Alexandria database describes an optimized crystal structure of ScPbW. The functional is PBE. Values from VASP.

Formation enthalpy at 0 K in eV per formula unit: 1.3
Energy relative to the lowest polymorph listed for this composition in eV/atom: 0.082
Space-group type: Fmm2, No. 42

Geometry as Quantum ESPRESSO input:
```
&SYSTEM
  ibrav = 0, nat = 3, ntyp = 3
/
ATOMIC_SPECIES
W 183.84 W.upf
Pb 207.20 Pb.upf
Sc 44.96 Sc.upf
CELL_PARAMETERS angstrom
7.4322 -0.0011 0.0008
6.5985 2.9671 0.0015
0.8337 -0.7414 2.8741
ATOMIC_POSITIONS crystal
W 0.6708 0.6708 0.3292
Pb 0.0076 0.0076 0.9924
Sc 0.3216 0.3216 0.6784
```